Entry 1:
The following is a DFT calculation (GGA-PBE) of crystalline Tb2Er5TmMg at its relaxed geometry.

Output
Formation energy, eV/f.u.: 0.96
DOS(E_F), states/eV/cell: 25.18

```
data_Tb2Er5TmMg
_chemical_formula_sum 'Tb4 Er10 Tm2 Mg2'
_symmetry_space_group_name_H-M 'P 1'
_symmetry_Int_Tables_number 1
_cell_length_a 10.3572
_cell_length_b 10.3572
_cell_length_c 10.3199
_cell_angle_alpha 90.00
_cell_angle_beta 90.00
_cell_angle_gamma 150.05
loop_
_symmetry_equiv_pos_as_xyz
'x,y,z'
loop_
_atom_site_label
_atom_site_type_symbol
_atom_site_fract_x
_atom_site_fract_y
_atom_site_fract_z
Tb1 Tb 0.1150 0.8850 0.5000
Tb2 Tb 0.1150 0.8850 0.9263
Tb3 Tb 0.8850 0.1150 0.0000
Tb4 Tb 0.8850 0.1150 0.4263
Er1 Er 0.0131 0.9869 0.2131
Er2 Er 0.2885 0.7115 0.5141
Er3 Er 0.2889 0.7111 0.9118
Er4 Er 0.3819 0.6181 0.2131
Er5 Er 0.5003 0.4997 0.4626
Er6 Er 0.4997 0.5003 0.9626
Er7 Er 0.6181 0.3819 0.7131
Er8 Er 0.7111 0.2889 0.4118
Er9 Er 0.7115 0.2885 0.0141
Er10 Er 0.9869 0.0131 0.7131
Tm1 Tm 0.2063 0.7937 0.2131
Tm2 Tm 0.7937 0.2063 0.7131
Mg1 Mg 0.4044 0.5956 0.7119
Mg2 Mg 0.5956 0.4044 0.2119
```

Entry 2:
The following is a DFT calculation (GGA-PBE) of crystalline NiMoPt2 at its relaxed geometry.

Output
Formation energy, eV/f.u.: -0.95
DOS(E_F), states/eV/cell: 4.85

```
data_NiMoPt2
_chemical_formula_sum 'Ni1 Mo1 Pt2'
_symmetry_space_group_name_H-M 'P 1'
_symmetry_Int_Tables_number 1
_cell_length_a 2.7448
_cell_length_b 2.7448
_cell_length_c 7.6754
_cell_angle_alpha 90.00
_cell_angle_beta 90.00
_cell_angle_gamma 90.00
loop_
_symmetry_equiv_pos_as_xyz
'x,y,z'
loop_
_atom_site_label
_atom_site_type_symbol
_atom_site_fract_x
_atom_site_fract_y
_atom_site_fract_z
Ni1 Ni 0.0000 0.0000 0.0000
Mo1 Mo 0.0000 0.0000 0.5000
Pt1 Pt 0.5000 0.5000 0.2416
Pt2 Pt 0.5000 0.5000 0.7584
```

Entry 3:
The following is a DFT calculation (GGA-PBE) of crystalline Er2NpAg3Te6 at its relaxed geometry.

Output
Final energy, eV/atom: -4.812
DOS(E_F), states/eV/cell: 6.58

```
data_Er2NpAg3Te6
_chemical_formula_sum 'Er2 Np1 Ag3 Te6'
_symmetry_space_group_name_H-M 'P 1'
_symmetry_Int_Tables_number 1
_cell_length_a 8.8804
_cell_length_b 8.8804
_cell_length_c 10.6310
_cell_angle_alpha 106.07
_cell_angle_beta 106.07
_cell_angle_gamma 29.04
loop_
_symmetry_equiv_pos_as_xyz
'x,y,z'
loop_
_atom_site_label
_atom_site_type_symbol
_atom_site_fract_x
_atom_site_fract_y
_atom_site_fract_z
Er1 Er 0.1626 0.1626 0.3323
Er2 Er 0.8374 0.8374 0.6677
Np1 Np 0.5000 0.5000 0.0000
Ag1 Ag 0.1754 0.1754 0.9704
Ag2 Ag 0.5000 0.5000 0.5000
Ag3 Ag 0.8246 0.8246 0.0296
Te1 Te 0.0172 0.0172 0.7989
Te2 Te 0.3066 0.3066 0.8517
Te3 Te 0.3427 0.3427 0.4750
Te4 Te 0.6573 0.6573 0.5250
Te5 Te 0.6934 0.6934 0.1483
Te6 Te 0.9828 0.9828 0.2011
```

Entry 4:
The following is a DFT calculation (GGA-PBE) of crystalline LiLaZn2Pt at its relaxed geometry.

Output
Formation energy, eV/f.u.: -1.73
DOS(E_F), states/eV/cell: 4.56

```
data_LiLaZn2Pt
_chemical_formula_sum 'Li1 La1 Zn2 Pt1'
_symmetry_space_group_name_H-M 'P 1'
_symmetry_Int_Tables_number 1
_cell_length_a 4.8634
_cell_length_b 4.8634
_cell_length_c 4.6253
_cell_angle_alpha 90.00
_cell_angle_beta 90.00
_cell_angle_gamma 90.00
loop_
_symmetry_equiv_pos_as_xyz
'x,y,z'
loop_
_atom_site_label
_atom_site_type_symbol
_atom_site_fract_x
_atom_site_fract_y
_atom_site_fract_z
Li1 Li 0.0000 0.0000 0.0000
La1 La 0.5000 0.5000 0.0000
Zn1 Zn 0.0000 0.5000 0.5000
Zn2 Zn 0.5000 0.0000 0.5000
Pt1 Pt 0.0000 0.0000 0.5000
```

Entry 5:
The following is a DFT calculation (GGA-PBE) of crystalline Rb3HfI at its relaxed geometry.

Output
Final energy, eV/atom: -2.340
DOS(E_F), states/eV/cell: 26.23

```
data_Rb3HfI
_chemical_formula_sum 'Rb3 Hf1 I1'
_symmetry_space_group_name_H-M 'P 1'
_symmetry_Int_Tables_number 1
_cell_length_a 6.8950
_cell_length_b 6.8950
_cell_length_c 6.8950
_cell_angle_alpha 90.00
_cell_angle_beta 90.00
_cell_angle_gamma 90.00
loop_
_symmetry_equiv_pos_as_xyz
'x,y,z'
loop_
_atom_site_label
_atom_site_type_symbol
_atom_site_fract_x
_atom_site_fract_y
_atom_site_fract_z
Rb1 Rb 0.0000 0.0000 0.5000
Rb2 Rb 0.0000 0.5000 0.0000
Rb3 Rb 0.5000 0.0000 0.0000
Hf1 Hf 0.5000 0.5000 0.5000
I1 I 0.0000 0.0000 0.0000
```

Entry 6:
The following is a DFT calculation (GGA-PBE) of crystalline Te2AuCl at its relaxed geometry.

Output
Final energy, eV/atom: -3.107
DOS(E_F), states/eV/cell: 0.55

```
data_Te2AuCl
_chemical_formula_sum 'Te4 Au2 Cl2'
_symmetry_space_group_name_H-M 'P 1'
_symmetry_Int_Tables_number 1
_cell_length_a 6.5739
_cell_length_b 6.5739
_cell_length_c 8.7759
_cell_angle_alpha 90.00
_cell_angle_beta 90.00
_cell_angle_gamma 143.39
loop_
_symmetry_equiv_pos_as_xyz
'x,y,z'
loop_
_atom_site_label
_atom_site_type_symbol
_atom_site_fract_x
_atom_site_fract_y
_atom_site_fract_z
Te1 Te 0.1069 0.8931 0.5500
Te2 Te 0.1069 0.8931 0.9500
Te3 Te 0.8931 0.1069 0.0500
Te4 Te 0.8931 0.1069 0.4500
Au1 Au 0.4143 0.5857 0.2500
Au2 Au 0.5857 0.4143 0.7500
Cl1 Cl 0.3284 0.6716 0.7500
Cl2 Cl 0.6716 0.3284 0.2500
```